(1)
Lu2ZnNi: optimized geometry, GGA-PBE.

The structure in POSCAR format:
```
Lu2ZnNi
1.0
3.385 0.000 0.000
0.000 3.385 0.000
0.000 0.000 6.836
Lu Zn Ni
2 1 1
direct
0.000 0.000 0.767 Lu
0.000 0.000 0.233 Lu
0.500 0.500 0.500 Zn
0.500 0.500 0.000 Ni
```

magnetic moment	0.00	μB per cell
space group	P4/mmm (123)
energy above the lowest structure with this stoichiometry	0	meV/atom
formation energy	-0.429	eV/atom

---

(2)
NaCrP2Ir: optimized geometry, GGA-PBE.

The structure in POSCAR format:
```
NaCrP2Ir
1.0
4.019 0.000 0.000
0.000 4.019 0.000
-2.009 -2.009 4.929
P Cr Ir Na
2 1 1 1
direct
0.626 0.626 0.252 P
0.374 0.374 0.748 P
0.750 0.250 0.500 Cr
0.250 0.750 0.500 Ir
0.000 0.000 0.000 Na
```

magnetic moment	2.17	μB per cell
space group	I-4m2 (119)
formation energy	-0.494	eV/atom

---

(3)
Zn6GaAg8: optimized geometry, GGA-PBE.

The structure in POSCAR format:
```
Zn6GaAg8
1.0
-1.740 5.003 -0.756
-5.010 -2.523 -5.167
-1.988 0.419 7.351
Ag Zn Ga
8 6 1
direct
0.111 0.632 0.943 Ag
0.111 0.312 0.368 Ag
0.279 0.667 0.333 Ag
0.889 0.688 0.632 Ag
0.721 0.333 0.667 Ag
0.889 0.943 0.312 Ag
0.111 0.057 0.688 Ag
0.889 0.368 0.057 Ag
0.396 0.331 0.976 Zn
0.604 0.976 0.645 Zn
0.396 0.645 0.669 Zn
0.604 0.669 0.024 Zn
0.396 0.024 0.355 Zn
0.604 0.355 0.331 Zn
0.500 0.000 0.000 Ga
```

magnetic moment	0.00	μB per cell
space group	P-3 (147)
energy above the lowest structure with this stoichiometry	0	meV/atom
formation energy	0.050	eV/atom